# 1
La2ScHg | PBE-GGA | relaxed

Cell: 3.6775 5.4138 5.6459 Å, 90.00 90.00 90.00°
Closest atoms and distances in Å follow each position.
Sites, in units of the cell vectors:
1 Sc 0.5000 0.0000 0.5000  4 Hg 3.27, 4 La 3.37
2 La 0.5000 0.5000 0.0000  4 La 3.27, 4 Hg 3.37
3 La 0.0000 0.0000 0.0000  4 La 3.27, 4 Sc 3.37
4 Hg 0.0000 0.5000 0.5000  4 Sc 3.27, 4 La 3.37

Calculated values
- V (A^3/atom) = 28.10
- theoretical density (Mg/m³) = 7.73
- uncorrected energy (eV per atom) = -4.20
- energy of formation (eV per atom) = -0.082

---

# 2
LaSc2Hg2 | PBE-GGA | relaxed

Cell: 4.6608 4.6608 7.1417 Å, 70.96 70.96 90.00°
Closest atoms and distances in Å follow each position.
Sites, in units of the cell vectors:
1 La 0.0000 0.0000 0.0000  8 Sc 3.63, 8 Hg 3.93
2 Sc 0.3803 0.3803 0.2395  4 Hg 2.86, 1 Sc 3.03
3 Sc 0.6197 0.6197 0.7605  4 Hg 2.86, 1 Sc 3.03
4 Hg 0.2500 0.7500 0.5000  4 Sc 2.86
5 Hg 0.7500 0.2500 0.5000  4 Sc 2.86

Calculated values
- V (A^3/atom) = 27.53
- relative energy among the computed polymorphs (eV per atom) = 0.177
- theoretical density (Mg/m³) = 7.60
- uncorrected energy (eV per atom) = -3.77
- energy of formation (eV per atom) = -0.130

---

# 3
La2ScHg | PBE-GGA | relaxed

Cell: 10.8057 10.8057 10.8057 Å, 19.37 19.37 19.37°
Closest atoms and distances in Å follow each position.
Sites, in units of the cell vectors:
1 La 0.0075 0.0075 0.0075  3 Hg 3.37, 9 La 3.64-3.70
2 La 0.2451 0.2451 0.2451  3 Sc 3.50, 9 La 3.64-3.70
3 Sc 0.4904 0.4904 0.4904  3 Hg 2.98
4 Hg 0.7570 0.7570 0.7570  3 Sc 2.98

Calculated values
- V (A^3/atom) = 30.33
- theoretical density (Mg/m³) = 7.16
- uncorrected energy (eV per atom) = -4.23
- energy of formation (eV per atom) = -0.111

---

# 4
LaScHg | PBE-GGA | relaxed

Cell: 5.0180 6.6759 6.3251 Å, 100.80 113.37 112.08°
Closest atoms and distances in Å follow each position.
Sites, in units of the cell vectors:
1 Hg 0.8257 0.5335 0.4660  4 Sc 3.03-3.37, 1 Hg 3.13, 2 La 3.32-3.33
2 Hg 0.7443 0.7633 0.0734  3 Sc 2.94-2.95, 3 La 3.13-3.28, 1 Hg 3.13
3 Sc 0.3352 0.9913 0.0271  2 Hg 2.94
4 Sc 0.5409 0.8309 0.5988  3 Hg 2.95-3.03
5 La 0.2186 0.2256 0.5603  4 Hg 3.13-3.48
6 La 0.0429 0.4074 0.0263  5 Hg 3.28-3.63, 5 Sc 3.32-3.61, 2 La 3.53

Calculated values
- V (A^3/atom) = 27.59
- relative energy among the computed polymorphs (eV per atom) = 0.096
- theoretical density (Mg/m³) = 7.71
- uncorrected energy (eV per atom) = -4.10
- energy of formation (eV per atom) = -0.245

---

# 5
LaScHg2 | PBE-GGA | relaxed

Cell: 5.2968 5.2968 5.2968 Å, 60.00 60.00 60.00°
Closest atoms and distances in Å follow each position.
Sites, in units of the cell vectors:
1 La 0.5000 0.5000 0.5000  8 Hg 3.24
2 Hg 0.2500 0.2500 0.2500  4 La 3.24, 4 Sc 3.24
3 Hg 0.7500 0.7500 0.7500  4 La 3.24, 4 Sc 3.24
4 Sc 0.0000 0.0000 0.0000  8 Hg 3.24

Calculated values
- V (A^3/atom) = 26.27
- relative energy among the computed polymorphs (eV per atom) = 0.043
- theoretical density (Mg/m³) = 9.24
- uncorrected energy (eV per atom) = -3.38
- energy of formation (eV per atom) = -0.411

---

# 6
LaScHg | PBE-GGA | relaxed

Cell: 6.6556 7.4407 3.5921 Å, 89.75 105.63 95.48°
Closest atoms and distances in Å follow each position.
Sites, in units of the cell vectors:
1 Sc 0.9535 0.6378 0.9464  4 Hg 2.98-3.03, 1 Sc 3.22
2 Sc 0.1788 0.0447 0.0578  4 Hg 2.98-3.01, 1 Sc 3.22
3 Hg 0.8182 0.9335 0.3774  4 Sc 2.98-3.03, 2 La 3.33
4 Hg 0.0997 0.3550 0.5180  4 Sc 2.98-3.01
5 La 0.4226 0.7355 0.6829  3 Hg 3.33-3.34, 5 Sc 3.41-3.55, 2 La 3.59
6 La 0.6158 0.2525 0.7718  5 Hg 3.34-3.61, 3 Sc 3.42-3.56, 2 La 3.59

Calculated values
- V (A^3/atom) = 28.41
- relative energy among the computed polymorphs (eV per atom) = 0.142
- theoretical density (Mg/m³) = 7.49
- uncorrected energy (eV per atom) = -4.05
- energy of formation (eV per atom) = -0.199

---

# 7
LaSc4Hg5 | PBE-GGA | relaxed

Cell: 3.5495 3.5495 18.4465 Å, 90.00 90.00 90.00°
Closest atoms and distances in Å follow each position.
Sites, in units of the cell vectors:
1 Sc 0.0000 0.0000 0.2160  8 Hg 3.02-3.06
2 Sc 0.0000 0.0000 0.7840  8 Hg 3.02-3.06
3 Sc 0.0000 0.0000 0.5946  8 Hg 3.06
4 Sc 0.0000 0.0000 0.4054  8 Hg 3.06
5 Hg 0.5000 0.5000 0.5000  8 Sc 3.06
6 Hg 0.5000 0.5000 0.3107  8 Sc 3.06
7 Hg 0.5000 0.5000 0.8754  4 Sc 3.02
8 Hg 0.5000 0.5000 0.1246  4 Sc 3.02
9 Hg 0.5000 0.5000 0.6893  8 Sc 3.06
10 La 0.0000 0.0000 0.0000  8 Hg 3.40, 4 La 3.55

Calculated values
- V (A^3/atom) = 23.24
- theoretical density (Mg/m³) = 9.44
- uncorrected energy (eV per atom) = -3.61
- energy of formation (eV per atom) = -0.435

---

# 8
La2ScHg | PBE-GGA | relaxed

Cell: 3.8021 8.7127 7.9325 Å, 110.75 90.00 90.00°
Closest atoms and distances in Å follow each position.
Sites, in units of the cell vectors:
1 Hg 0.2500 0.2309 0.3874  3 Sc 2.98-3.16, 4 La 3.31-3.33
2 Hg 0.7500 0.7691 0.6126  3 Sc 2.98-3.16, 4 La 3.31-3.33
3 Sc 0.2500 0.0453 0.6651  3 Hg 2.98-3.16, 2 Sc 3.10, 2 La 3.32
4 Sc 0.7500 0.9547 0.3349  3 Hg 2.98-3.16, 2 Sc 3.10, 2 La 3.32
5 La 0.7500 0.4251 0.7450  3 Hg 3.33-3.51, 1 La 3.61, 2 Sc 3.67
6 La 0.7500 0.1815 0.0307  2 Hg 3.31, 3 Sc 3.32-3.62, 3 La 3.57-3.61
7 La 0.2500 0.5749 0.2550  3 Hg 3.33-3.51, 1 La 3.61, 2 Sc 3.67
8 La 0.2500 0.8185 0.9693  2 Hg 3.31, 3 Sc 3.32-3.62, 3 La 3.57-3.61

Calculated values
- V (A^3/atom) = 30.72
- theoretical density (Mg/m³) = 7.07
- uncorrected energy (eV per atom) = -4.27
- energy of formation (eV per atom) = -0.145

---

# 9
La3ScHg4 | PBE-GGA | relaxed

Cell: 3.6470 3.6470 16.5090 Å, 90.00 90.00 90.00°
Closest atoms and distances in Å follow each position.
Sites, in units of the cell vectors:
1 Hg 0.0000 0.0000 0.9020  4 Sc 3.04, 1 Hg 3.24
2 Hg 0.0000 0.0000 0.6337  8 La 3.39, 4 Hg 3.65
3 Hg 0.0000 0.0000 0.0980  4 Sc 3.04, 1 Hg 3.24
4 Hg 0.0000 0.0000 0.3663  8 La 3.39, 4 Hg 3.65
5 Sc 0.5000 0.5000 0.0000  8 Hg 3.04
6 La 0.5000 0.5000 0.7668  8 Hg 3.39-3.41, 4 La 3.65
7 La 0.5000 0.5000 0.2332  8 Hg 3.39-3.41, 4 La 3.65
8 La 0.5000 0.5000 0.5000  8 Hg 3.39, 4 La 3.65

Calculated values
- V (A^3/atom) = 27.45
- theoretical density (Mg/m³) = 9.56
- uncorrected energy (eV per atom) = -3.25
- energy of formation (eV per atom) = -0.465

---

# 10
LaScHg | PBE-GGA | relaxed

Cell: 4.6270 4.6270 12.0401 Å, 90.00 90.00 120.00°
Closest atoms and distances in Å follow each position.
Sites, in units of the cell vectors:
1 La 0.0000 0.0000 0.0000  2 Sc 3.01
2 La 0.0000 0.0000 0.5000  2 Sc 3.01
3 Hg 0.3333 0.6667 0.2500  3 Sc 2.67
4 Hg 0.6667 0.3333 0.7500  3 Sc 2.67
5 Sc 0.0000 0.0000 0.2500  3 Hg 2.67
6 Sc 0.0000 0.0000 0.7500  3 Hg 2.67

Calculated values
- V (A^3/atom) = 37.21
- relative energy among the computed polymorphs (eV per atom) = 0.924
- theoretical density (Mg/m³) = 5.72
- uncorrected energy (eV per atom) = -3.27
- energy of formation (eV per atom) = 0.583

---

# 11
La2ScHg | PBE-GGA | relaxed

Cell: 6.0584 6.0584 6.0584 Å, 133.49 133.49 67.88°
Closest atoms and distances in Å follow each position.
Sites, in units of the cell vectors:
1 La 0.7500 0.2500 0.5000  4 Hg 3.38, 4 La 3.47, 4 Sc 3.47
2 La 0.0000 0.0000 0.0000  4 Sc 3.38, 4 Hg 3.47, 4 La 3.47
3 Hg 0.2500 0.7500 0.5000  8 La 3.38-3.47, 4 Sc 3.47
4 Sc 0.5000 0.5000 0.0000  8 La 3.38-3.47, 4 Hg 3.47

Calculated values
- V (A^3/atom) = 28.75
- theoretical density (Mg/m³) = 7.56
- uncorrected energy (eV per atom) = -4.25
- energy of formation (eV per atom) = -0.129

---

# 12
La2ScHg | PBE-GGA | relaxed

Cell: 5.1199 3.6764 6.6875 Å, 73.94 90.00 90.00°
Closest atoms and distances in Å follow each position.
Sites, in units of the cell vectors:
1 La 0.5000 0.2853 0.3063  4 Sc 3.38, 3 Hg 3.41-3.55, 2 La 3.68
2 La 0.0000 0.9643 0.9448  4 Hg 3.38, 3 Sc 3.43-3.53, 2 La 3.68
3 Hg 0.5000 0.5595 0.7541  2 Sc 3.05, 6 La 3.38-3.42
4 Sc 0.0000 0.6908 0.4948  2 Hg 3.05, 4 La 3.38

Calculated values
- V (A^3/atom) = 30.24
- theoretical density (Mg/m³) = 7.18
- uncorrected energy (eV per atom) = -4.31
- energy of formation (eV per atom) = -0.190

---

# 13
LaSc2Hg4 | PBE-GGA | relaxed

Cell: 5.0809 5.0809 7.2139 Å, 90.00 90.00 90.00°
Closest atoms and distances in Å follow each position.
Sites, in units of the cell vectors:
1 La 0.5000 0.5000 0.0000  8 Hg 3.26, 6 Sc 3.59-3.61
2 Sc 0.5000 0.5000 0.5000  8 Hg 2.99
3 Sc 0.0000 0.0000 0.0000  8 Hg 3.26, 4 La 3.59
4 Hg 0.0000 0.5000 0.2823  4 Sc 2.99-3.26, 1 Hg 3.14, 2 La 3.26
5 Hg 0.0000 0.5000 0.7177  4 Sc 2.99-3.26, 1 Hg 3.14, 2 La 3.26
6 Hg 0.5000 0.0000 0.2823  4 Sc 2.99-3.26, 1 Hg 3.14, 2 La 3.26
7 Hg 0.5000 0.0000 0.7177  4 Sc 2.99-3.26, 1 Hg 3.14, 2 La 3.26

Calculated values
- V (A^3/atom) = 26.60
- theoretical density (Mg/m³) = 9.19
- uncorrected energy (eV per atom) = -2.92
- energy of formation (eV per atom) = -0.234

---

# 14
LaScHg2 | PBE-GGA | relaxed

Cell: 9.9799 9.9799 9.9799 Å, 21.05 21.05 21.05°
Closest atoms and distances in Å follow each position.
Sites, in units of the cell vectors:
1 Hg 0.2573 0.2573 0.2573  3 Hg 3.08, 3 La 3.34
2 Hg 0.0007 0.0007 0.0007  3 Sc 2.99, 3 Hg 3.08
3 Sc 0.7399 0.7399 0.7399  3 Hg 2.99
4 La 0.5021 0.5021 0.5021  3 Hg 3.34, 3 Sc 3.50, 6 La 3.65

Calculated values
- V (A^3/atom) = 28.07
- relative energy among the computed polymorphs (eV per atom) = 0.343
- theoretical density (Mg/m³) = 8.65
- uncorrected energy (eV per atom) = -3.08
- energy of formation (eV per atom) = -0.111